## LaHfW2O (GGA+U)

Data for an optimized crystal structure of LaHfW2O.

The space group is P4/mmm (No. 123) and the conventional cell measures 5.608, 5.608 and 5.412 Å, with angles of 90.00, 90.00 and 90.00 degrees. Symmetry generates all atoms from La at (0.000, 0.000, 0.000), Hf at (0.000, 0.000, 0.500), W at (0.000, 0.500, 0.000) and O at (0.500, 0.500, 0.500).

The calculation puts the size of the total moment at 6.60 μB/cell. Its total energy is -3.96 eV per atom. As for the calculated volume: 34.0 Å³/atom.